Arrangement w

The following is a PBE calculation of crystalline DyErPt at its relaxed geometry, from the Open Quantum Materials Database.

Geometry as POSCAR:
```
DyErPt
1.0
7.109 0.000 0.000
0.000 4.743 0.000
0.000 0.000 8.730
Dy Er Pt
4 4 4
Direct
0.010 0.250 0.168 Dy
0.490 0.750 0.668 Dy
0.510 0.250 0.332 Dy
0.990 0.750 0.832 Dy
0.144 0.250 0.580 Er
0.356 0.750 0.080 Er
0.644 0.250 0.920 Er
0.856 0.750 0.420 Er
0.243 0.250 0.907 Pt
0.257 0.750 0.407 Pt
0.743 0.250 0.593 Pt
0.757 0.750 0.093 Pt
```

Computed properties:
Its crystal system is orthorhombic. Its total magnetic moment is 0.01 μB per cell. The calculation puts the mass density at 11.84 g cm⁻³.

Arrangement x

The following is a PBE calculation of crystalline DyErPt at its relaxed geometry, from the Open Quantum Materials Database.

Geometry as POSCAR:
```
DyErPt
1.0
6.697 0.000 0.000
0.000 6.697 0.000
0.000 0.000 6.697
Dy Er Pt
4 4 4
Direct
0.000 0.000 0.000 Dy
0.000 0.500 0.500 Dy
0.500 0.000 0.500 Dy
0.500 0.500 0.000 Dy
0.250 0.250 0.750 Er
0.250 0.750 0.250 Er
0.750 0.250 0.250 Er
0.750 0.750 0.750 Er
0.250 0.250 0.250 Pt
0.250 0.750 0.750 Pt
0.750 0.250 0.750 Pt
0.750 0.750 0.250 Pt
```

Computed properties:
Its crystal system is cubic. Its total magnetic moment is 0.00 μB per cell. The calculation puts the mass density at 11.61 g cm⁻³.

Stability summary: most stable arrangement w, least stable arrangement x.

Arrangement w

The following is a PBE calculation of crystalline Dy3Er3ReTe2 at its relaxed geometry, from the Open Quantum Materials Database.

Geometry as POSCAR:
```
Dy3Er3ReTe2
1.0
8.232 0.000 0.000
-4.116 7.129 0.000
0.000 0.000 4.138
Dy Er Re Te
3 3 1 2
Direct
0.000 0.612 0.000 Dy
0.388 0.388 0.000 Dy
0.612 0.000 0.000 Dy
0.000 0.236 0.500 Er
0.236 0.000 0.500 Er
0.764 0.764 0.500 Er
0.000 0.000 0.000 Re
0.333 0.667 0.500 Te
0.667 0.333 0.500 Te
```

Computed properties:
Its crystal system is hexagonal. Its total magnetic moment is 0.07 μB per cell. The calculation puts the mass density at 9.78 g cm⁻³.

Arrangement x

The following is a PBE calculation of crystalline Dy3Er3ReTe2 at its relaxed geometry, from the Open Quantum Materials Database.

Geometry as POSCAR:
```
Dy3Er3ReTe2
1.0
8.242 0.000 0.000
-4.121 7.137 0.000
0.000 0.000 4.137
Dy Er Re Te
3 3 1 2
Direct
0.000 0.239 0.000 Dy
0.239 0.000 0.000 Dy
0.761 0.761 0.000 Dy
0.000 0.614 0.500 Er
0.386 0.386 0.500 Er
0.614 0.000 0.500 Er
0.000 0.000 0.500 Re
0.333 0.667 0.000 Te
0.667 0.333 0.000 Te
```

Computed properties:
Its crystal system is hexagonal. Its total magnetic moment is 0.07 μB per cell. The calculation puts the mass density at 9.76 g cm⁻³.

Stability summary: most stable arrangement w, least stable arrangement x.

Arrangement w

The following is a PBE calculation of crystalline Dy2YEr2S7 at its relaxed geometry, from the Open Quantum Materials Database.

Geometry as POSCAR:
```
Dy2YEr2S7
1.0
6.425 -1.895 0.000
6.425 1.895 0.000
-2.912 0.000 11.184
Dy Y Er S
2 1 2 7
Direct
0.112 0.112 0.421 Dy
0.888 0.888 0.579 Dy
0.000 0.000 0.000 Y
0.300 0.300 0.187 Er
0.700 0.700 0.813 Er
0.043 0.043 0.785 S
0.259 0.259 0.649 S
0.339 0.339 0.948 S
0.500 0.500 0.500 S
0.661 0.661 0.052 S
0.741 0.741 0.351 S
0.957 0.957 0.215 S
```

Computed properties:
Its crystal system is monoclinic. Its total magnetic moment is 0.01 μB per cell. The calculation puts the mass density at 5.93 g cm⁻³.

Arrangement x

The following is a PBE calculation of crystalline Dy2YEr2S7 at its relaxed geometry, from the Open Quantum Materials Database.

Geometry as POSCAR:
```
Dy2YEr2S7
1.0
6.390 -1.898 0.000
6.390 1.898 0.000
-2.910 0.000 11.188
Dy Y Er S
2 1 2 7
Direct
0.200 0.200 0.311 Dy
0.800 0.800 0.689 Dy
0.500 0.500 0.500 Y
0.388 0.388 0.078 Er
0.612 0.612 0.922 Er
0.000 0.000 0.000 S
0.160 0.160 0.551 S
0.240 0.240 0.855 S
0.460 0.460 0.717 S
0.540 0.540 0.283 S
0.760 0.760 0.145 S
0.840 0.840 0.449 S
```

Computed properties:
Its crystal system is monoclinic. Its total magnetic moment is 0.00 μB per cell. The calculation puts the mass density at 5.95 g cm⁻³.

Stability summary: most stable arrangement x, least stable arrangement w.

Arrangement w

The following is a PBE calculation of crystalline KDyFeS3 at its relaxed geometry, from the Open Quantum Materials Database.

Geometry as POSCAR:
```
KDyFeS3
1.0
1.984 -7.093 0.000
1.984 7.093 0.000
0.000 0.000 10.419
K Dy Fe S
2 2 2 6
Direct
0.245 0.755 0.750 K
0.755 0.245 0.250 K
0.500 0.500 0.000 Dy
0.500 0.500 0.500 Dy
0.029 0.971 0.250 Fe
0.971 0.029 0.750 Fe
0.122 0.878 0.071 S
0.122 0.878 0.429 S
0.437 0.563 0.250 S
0.563 0.437 0.750 S
0.878 0.122 0.571 S
0.878 0.122 0.929 S
```

Computed properties:
Its crystal system is orthorhombic. Its total magnetic moment is 7.98 μB per cell. The calculation puts the mass density at 4.01 g cm⁻³.

Arrangement x

The following is a PBE calculation of crystalline KDyFeS3 at its relaxed geometry, from the Open Quantum Materials Database.

Geometry as POSCAR:
```
KDyFeS3
1.0
8.440 0.000 0.000
0.000 3.946 0.000
-2.943 0.000 9.166
K Dy Fe S
2 2 2 6
Direct
0.228 0.250 0.262 K
0.772 0.750 0.738 K
0.327 0.750 0.855 Dy
0.673 0.250 0.145 Dy
0.075 0.250 0.592 Fe
0.925 0.750 0.408 Fe
0.094 0.250 0.833 S
0.208 0.750 0.544 S
0.452 0.750 0.148 S
0.548 0.250 0.852 S
0.792 0.250 0.456 S
0.906 0.750 0.167 S
```

Computed properties:
Its crystal system is monoclinic. Its total magnetic moment is 8.01 μB per cell. The calculation puts the mass density at 3.85 g cm⁻³.

Stability summary: most stable arrangement x, least stable arrangement w.

Arrangement w

The following is a PBE calculation of crystalline LiDyFeS3 at its relaxed geometry, from the Open Quantum Materials Database.

Geometry as POSCAR:
```
LiDyFeS3
1.0
1.908 -6.023 0.000
1.908 6.023 0.000
0.000 0.000 10.450
Li Dy Fe S
2 2 2 6
Direct
0.233 0.767 0.750 Li
0.767 0.233 0.250 Li
0.000 0.000 0.000 Dy
0.000 0.000 0.500 Dy
0.477 0.523 0.250 Fe
0.523 0.477 0.750 Fe
0.088 0.912 0.250 S
0.358 0.642 0.082 S
0.358 0.642 0.418 S
0.642 0.358 0.582 S
0.642 0.358 0.918 S
0.912 0.088 0.750 S
```

Computed properties:
Its crystal system is orthorhombic. Its total magnetic moment is 7.98 μB per cell. The calculation puts the mass density at 4.44 g cm⁻³.

Arrangement x

The following is a PBE calculation of crystalline LiDyFeS3 at its relaxed geometry, from the Open Quantum Materials Database.

Geometry as POSCAR:
```
LiDyFeS3
1.0
12.961 0.000 0.000
0.000 3.773 0.000
0.000 0.000 10.668
Li Dy Fe S
4 4 4 12
Direct
0.222 0.250 0.175 Li
0.278 0.750 0.675 Li
0.722 0.250 0.325 Li
0.778 0.750 0.825 Li
0.034 0.750 0.845 Dy
0.466 0.250 0.345 Dy
0.534 0.750 0.655 Dy
0.966 0.250 0.155 Dy
0.020 0.250 0.582 Fe
0.480 0.750 0.082 Fe
0.520 0.250 0.918 Fe
0.980 0.750 0.418 Fe
0.083 0.250 0.379 S
0.105 0.750 0.081 S
0.151 0.250 0.730 S
0.349 0.750 0.230 S
0.395 0.250 0.581 S
0.417 0.750 0.879 S
0.583 0.250 0.121 S
0.605 0.750 0.419 S
0.651 0.250 0.770 S
0.849 0.750 0.270 S
0.895 0.250 0.919 S
0.917 0.750 0.621 S
```

Computed properties:
Its crystal system is orthorhombic. Its total magnetic moment is 14.92 μB per cell. The calculation puts the mass density at 4.09 g cm⁻³.

Stability summary: most stable arrangement x, least stable arrangement w.

Arrangement w

The following is a PBE calculation of crystalline NaDyFeS3 at its relaxed geometry, from the Open Quantum Materials Database.

Geometry as POSCAR:
```
NaDyFeS3
1.0
1.954 -6.415 0.000
1.954 6.415 0.000
0.000 0.000 10.445
Na Dy Fe S
2 2 2 6
Direct
0.245 0.755 0.750 Na
0.755 0.245 0.250 Na
0.000 0.000 0.000 Dy
0.000 0.000 0.500 Dy
0.474 0.526 0.250 Fe
0.526 0.474 0.750 Fe
0.077 0.923 0.250 S
0.366 0.634 0.076 S
0.366 0.634 0.424 S
0.634 0.366 0.576 S
0.634 0.366 0.924 S
0.923 0.077 0.750 S
```

Computed properties:
Its crystal system is orthorhombic. Its total magnetic moment is 7.98 μB per cell. The calculation puts the mass density at 4.28 g cm⁻³.

Arrangement x

The following is a PBE calculation of crystalline NaDyFeS3 at its relaxed geometry, from the Open Quantum Materials Database.

Geometry as POSCAR:
```
NaDyFeS3
1.0
7.924 0.000 0.000
0.000 3.869 0.000
-2.134 0.000 8.968
Na Dy Fe S
2 2 2 6
Direct
0.210 0.250 0.239 Na
0.790 0.750 0.761 Na
0.327 0.750 0.852 Dy
0.673 0.250 0.148 Dy
0.073 0.250 0.589 Fe
0.927 0.750 0.411 Fe
0.080 0.250 0.838 S
0.219 0.750 0.535 S
0.434 0.750 0.153 S
0.566 0.250 0.847 S
0.781 0.250 0.465 S
0.920 0.750 0.162 S
```

Computed properties:
Its crystal system is monoclinic. Its total magnetic moment is 7.64 μB per cell. The calculation puts the mass density at 4.08 g cm⁻³.

Arrangement y

The following is a PBE calculation of crystalline NaDyFeS3 at its relaxed geometry, from the Open Quantum Materials Database.

Geometry as POSCAR:
```
NaDyFeS3
1.0
10.773 0.000 0.000
0.000 3.983 0.000
0.000 0.000 11.391
Na Dy Fe S
4 4 4 12
Direct
0.165 0.250 0.004 Na
0.335 0.750 0.504 Na
0.665 0.250 0.496 Na
0.835 0.750 0.996 Na
0.017 0.250 0.679 Dy
0.483 0.750 0.179 Dy
0.517 0.250 0.821 Dy
0.983 0.750 0.321 Dy
0.246 0.250 0.287 Fe
0.254 0.750 0.787 Fe
0.746 0.250 0.213 Fe
0.754 0.750 0.713 Fe
0.053 0.750 0.845 S
0.109 0.250 0.439 S
0.217 0.750 0.188 S
0.283 0.250 0.688 S
0.391 0.750 0.939 S
0.447 0.250 0.345 S
0.553 0.750 0.655 S
0.609 0.250 0.061 S
0.717 0.750 0.312 S
0.783 0.250 0.812 S
0.891 0.750 0.561 S
0.947 0.250 0.155 S
```

Computed properties:
Its crystal system is orthorhombic. Its total magnetic moment is 15.98 μB per cell. The calculation puts the mass density at 4.59 g cm⁻³.

Stability summary: most stable arrangement x, least stable arrangement y.

Arrangement w

The following is a PBE calculation of crystalline NaDyFeSe3 at its relaxed geometry, from the Open Quantum Materials Database.

Geometry as POSCAR:
```
NaDyFeSe3
1.0
8.171 0.000 0.000
0.000 4.178 0.000
0.000 0.000 16.120
Na Dy Fe Se
4 4 4 12
Direct
0.076 0.250 0.215 Na
0.424 0.750 0.715 Na
0.576 0.250 0.285 Na
0.924 0.750 0.785 Na
0.248 0.750 0.455 Dy
0.252 0.250 0.955 Dy
0.748 0.750 0.045 Dy
0.752 0.250 0.545 Dy
0.123 0.250 0.640 Fe
0.377 0.750 0.140 Fe
0.623 0.250 0.860 Fe
0.877 0.750 0.360 Fe
0.006 0.250 0.409 Se
0.125 0.750 0.059 Se
0.192 0.250 0.783 Se
0.308 0.750 0.283 Se
0.375 0.250 0.559 Se
0.494 0.750 0.909 Se
0.506 0.250 0.091 Se
0.625 0.750 0.441 Se
0.692 0.250 0.717 Se
0.808 0.750 0.217 Se
0.875 0.250 0.941 Se
0.994 0.750 0.591 Se
```

Computed properties:
Its crystal system is orthorhombic. Its total magnetic moment is 16.00 μB per cell. The calculation puts the mass density at 5.77 g cm⁻³.

Arrangement x

The following is a PBE calculation of crystalline NaDyFeSe3 at its relaxed geometry, from the Open Quantum Materials Database.

Geometry as POSCAR:
```
NaDyFeSe3
1.0
8.869 -2.030 0.000
8.869 2.030 0.000
-2.020 0.000 7.972
Na Dy Fe Se
2 2 2 6
Direct
0.134 0.134 0.072 Na
0.866 0.866 0.928 Na
0.171 0.171 0.590 Dy
0.829 0.829 0.410 Dy
0.480 0.480 0.280 Fe
0.520 0.520 0.720 Fe
0.000 0.000 0.500 Se
0.335 0.335 0.176 Se
0.335 0.335 0.653 Se
0.500 0.500 0.000 Se
0.665 0.665 0.347 Se
0.665 0.665 0.824 Se
```

Computed properties:
Its crystal system is monoclinic. Its total magnetic moment is 8.01 μB per cell. The calculation puts the mass density at 5.53 g cm⁻³.

Stability summary: most stable arrangement w, least stable arrangement x.

Arrangement w

The following is a PBE calculation of crystalline NaDyFeSe3 at its relaxed geometry, from the Open Quantum Materials Database.

Geometry as POSCAR:
```
NaDyFeSe3
1.0
13.843 0.000 0.000
0.000 3.983 0.000
0.000 0.000 11.005
Na Dy Fe Se
4 4 4 12
Direct
0.229 0.250 0.052 Na
0.271 0.750 0.552 Na
0.729 0.250 0.448 Na
0.771 0.750 0.948 Na
0.014 0.250 0.342 Dy
0.486 0.750 0.842 Dy
0.514 0.250 0.158 Dy
0.986 0.750 0.658 Dy
0.008 0.750 0.080 Fe
0.492 0.250 0.580 Fe
0.508 0.750 0.420 Fe
0.992 0.250 0.920 Fe
0.099 0.750 0.887 Se
0.113 0.250 0.566 Se
0.133 0.750 0.233 Se
0.367 0.250 0.733 Se
0.387 0.750 0.066 Se
0.401 0.250 0.387 Se
0.599 0.750 0.613 Se
0.613 0.250 0.934 Se
0.633 0.750 0.267 Se
0.867 0.250 0.767 Se
0.887 0.750 0.434 Se
0.901 0.250 0.113 Se
```

Computed properties:
Its crystal system is orthorhombic. Its total magnetic moment is 15.28 μB per cell. The calculation puts the mass density at 5.23 g cm⁻³.

Arrangement x

The following is a PBE calculation of crystalline NaDyFeSe3 at its relaxed geometry, from the Open Quantum Materials Database.

Geometry as POSCAR:
```
NaDyFeSe3
1.0
11.176 0.000 0.000
0.000 4.141 0.000
0.000 0.000 12.035
Na Dy Fe Se
4 4 4 12
Direct
0.176 0.250 0.002 Na
0.324 0.750 0.502 Na
0.676 0.250 0.498 Na
0.824 0.750 0.998 Na
0.017 0.250 0.315 Dy
0.483 0.750 0.815 Dy
0.517 0.250 0.185 Dy
0.983 0.750 0.685 Dy
0.249 0.250 0.713 Fe
0.251 0.750 0.213 Fe
0.749 0.250 0.787 Fe
0.751 0.750 0.287 Fe
0.049 0.750 0.148 Se
0.106 0.250 0.563 Se
0.218 0.750 0.817 Se
0.282 0.250 0.317 Se
0.394 0.750 0.063 Se
0.451 0.250 0.648 Se
0.549 0.750 0.352 Se
0.606 0.250 0.937 Se
0.718 0.750 0.683 Se
0.782 0.250 0.183 Se
0.894 0.750 0.437 Se
0.951 0.250 0.852 Se
```

Computed properties:
Its crystal system is orthorhombic. Its total magnetic moment is 15.99 μB per cell. The calculation puts the mass density at 5.70 g cm⁻³.

Arrangement y

The following is a PBE calculation of crystalline NaDyFeSe3 at its relaxed geometry, from the Open Quantum Materials Database.

Geometry as POSCAR:
```
NaDyFeSe3
1.0
10.772 0.000 0.000
0.000 4.045 0.000
0.000 0.000 13.437
Na Dy Fe Se
4 4 4 12
Direct
0.217 0.250 0.004 Na
0.283 0.750 0.504 Na
0.717 0.250 0.496 Na
0.783 0.750 0.996 Na
0.016 0.750 0.741 Dy
0.484 0.250 0.241 Dy
0.516 0.750 0.759 Dy
0.984 0.250 0.259 Dy
0.235 0.750 0.221 Fe
0.265 0.250 0.721 Fe
0.735 0.750 0.279 Fe
0.765 0.250 0.779 Fe
0.051 0.750 0.118 Se
0.094 0.250 0.606 Se
0.238 0.250 0.329 Se
0.262 0.750 0.829 Se
0.406 0.750 0.106 Se
0.449 0.250 0.618 Se
0.551 0.750 0.382 Se
0.594 0.250 0.894 Se
0.738 0.250 0.171 Se
0.762 0.750 0.671 Se
0.906 0.750 0.394 Se
0.949 0.250 0.882 Se
```

Computed properties:
Its crystal system is orthorhombic. Its total magnetic moment is 16.00 μB per cell. The calculation puts the mass density at 5.43 g cm⁻³.

Stability summary: most stable arrangement w, least stable arrangement x.